1.
The following is a GGA-PBE calculation of a relaxed structure of NdY5HoEr2, from the Alexandria database.

## Properties
Total magnetization, Bohr magnetons per cell: 0.00
Crystal system: orthorhombic
ΔH_f (0 K), kJ/mol of atoms: 15

```
NdY5HoEr2
1.0
-4.029 3.551 -1.656
2.016 -5.990 -8.212
-7.347 -6.848 3.191
Nd Y Ho Er
2 10 2 4
direct
0.585 0.170 0.949
0.415 0.830 0.449
0.384 0.767 0.023
0.721 0.442 0.819
0.479 0.957 0.736
0.298 0.597 0.708
0.983 0.965 0.522
0.616 0.233 0.523
0.279 0.558 0.319
0.521 0.043 0.236
0.702 0.403 0.208
0.017 0.035 0.022
0.803 0.606 0.514
0.197 0.394 0.014
0.887 0.775 0.818
0.111 0.223 0.736
0.113 0.225 0.318
0.889 0.777 0.236
```



2.
The following is a GGA-PBE calculation of a relaxed structure of Sr2ThRh9, from the Alexandria database.

## Properties
Total magnetization, Bohr magnetons per cell: 0.00
Crystal system: trigonal
ΔH_f (0 K), kJ/mol of atoms: -33

```
Sr2ThRh9
1.0
5.123 0.000 1.525
2.334 4.560 1.525
-0.036 -0.022 9.490
Sr Th Rh
2 1 9
direct
0.858 0.858 0.425
0.142 0.142 0.575
0.000 0.000 0.000
0.668 0.668 0.997
0.332 0.332 0.003
0.500 0.500 0.500
0.422 0.422 0.239
0.917 0.422 0.239
0.422 0.917 0.239
0.578 0.578 0.761
0.578 0.083 0.761
0.083 0.578 0.761
```



3.
The following is a GGA-PBE calculation of a relaxed structure of Pr3Pd5Pb, from the Alexandria database.

## Properties
Total magnetization, Bohr magnetons per cell: 0.00
Crystal system: tetragonal
ΔH_f (0 K), kJ/mol of atoms: -43

```
Pr3Pd5Pb
1.0
-6.099 -2.347 5.320
5.727 -3.762 4.906
0.907 8.176 -2.027
Pr Pd Pb
6 10 2
direct
0.629 0.129 0.000
0.371 0.871 0.000
0.871 0.629 0.000
0.129 0.371 0.000
0.250 0.250 0.500
0.750 0.750 0.500
0.055 0.555 0.713
0.658 0.158 0.713
0.158 0.055 0.713
0.555 0.658 0.713
0.945 0.445 0.287
0.342 0.842 0.287
0.842 0.945 0.287
0.445 0.342 0.287
0.500 0.500 0.000
0.000 0.000 0.000
0.750 0.250 0.500
0.250 0.750 0.500
```



4.
The following is a GGA-PBE calculation of a relaxed structure of KTi2TeO6, from the Alexandria database.

## Properties
Total magnetization, Bohr magnetons per cell: 2.04
Energy, eV/atom: -7.193
Crystal system: monoclinic

```
KTi2TeO6
1.0
6.238 -0.078 -0.081
1.926 7.508 0.133
1.926 -0.146 7.508
K Ti Te O
2 4 2 12
direct
0.250 0.892 0.108
0.750 0.108 0.892
0.288 0.826 0.646
0.212 0.354 0.174
0.712 0.174 0.354
0.788 0.646 0.826
0.250 0.300 0.700
0.750 0.700 0.300
0.196 0.046 0.749
0.304 0.251 0.954
0.804 0.954 0.251
0.696 0.749 0.046
0.408 0.833 0.410
0.092 0.590 0.167
0.592 0.167 0.590
0.908 0.410 0.833
0.022 0.742 0.699
0.478 0.301 0.258
0.978 0.258 0.301
0.522 0.699 0.742
```



5.
The following is a GGA-PBE calculation of a relaxed structure of MnCdGe2S, from the Alexandria database.

## Properties
Total magnetization, Bohr magnetons per cell: 1.50
Energy, eV/atom: -4.434
Crystal system: tetragonal

```
MnCdGe2S
1.0
-2.650 -2.513 3.130
3.488 -2.336 1.077
1.063 3.178 3.451
Ge Mn S Cd
2 1 1 1
direct
0.000 0.000 0.500
0.500 0.000 0.000
0.000 0.000 0.000
0.000 0.500 0.000
0.500 0.500 0.500
```



6.
The following is a GGA-PBE calculation of a relaxed structure of NdGa2Te4, from the Alexandria database.

## Properties
Total magnetization, Bohr magnetons per cell: 0.00
Energy, eV/atom: -3.841
Crystal system: tetragonal

```
NdGa2Te4
1.0
-5.447 3.822 -1.271
-0.821 -6.668 0.869
2.386 2.260 5.923
Nd Ga Te
1 2 4
direct
0.500 0.500 0.000
0.250 0.750 0.500
0.750 0.250 0.500
0.305 0.167 0.472
0.833 0.305 0.137
0.167 0.695 0.863
0.695 0.833 0.528
```



7.
The following is a GGA-PBE calculation of a relaxed structure of BaNiBr2, from the Alexandria database.

## Properties
Total magnetization, Bohr magnetons per cell: 1.51
Excess energy over the best structure of this formula in the dataset, meV per atom: 643
Crystal system: trigonal

```
BaNiBr2
1.0
2.357 0.000 8.964
-1.179 2.042 8.964
-1.179 -2.042 8.964
Ni Ba Br
1 1 2
direct
0.500 0.500 0.500
0.000 0.000 0.000
0.882 0.882 0.882
0.118 0.118 0.118
```



8.
The following is a GGA-PBE calculation of a relaxed structure of LaIn3, from the Alexandria database.

## Properties
Total magnetization, Bohr magnetons per cell: 0.00
Crystal system: orthorhombic
ΔH_f (0 K), kJ/mol of atoms: -27

```
LaIn3
1.0
6.544 -0.057 0.074
2.922 5.855 -0.074
-3.794 -4.431 2.966
In La
3 1
direct
0.992 0.997 0.995
0.498 0.503 0.995
0.922 0.250 0.672
0.420 0.750 0.670
```



9.
The following is a GGA-PBE calculation of a relaxed structure of LiZnCd3, from the Alexandria database.

## Properties
Total magnetization, Bohr magnetons per cell: 0.00
Excess energy over the best structure of this formula in the dataset, meV per atom: 0
Crystal system: orthorhombic
ΔH_f (0 K), kJ/mol of atoms: -11

```
LiZnCd3
1.0
-0.633 -0.649 4.422
1.721 -4.134 -0.361
8.273 3.100 3.943
Li Zn Cd
2 2 6
direct
0.479 0.750 0.691
0.170 0.250 0.309
0.669 0.750 0.310
0.979 0.250 0.690
0.764 0.250 0.120
0.381 0.250 0.886
0.575 0.250 0.499
0.267 0.750 0.114
0.884 0.750 0.880
0.074 0.750 0.501
```



10.
The following is a GGA-PBE calculation of a relaxed structure of Mg3Br, from the Alexandria database.

## Properties
Total magnetization, Bohr magnetons per cell: 0.00
Excess energy over the best structure of this formula in the dataset, meV per atom: 173
Crystal system: orthorhombic

```
Mg3Br
1.0
3.518 -6.694 0.000
3.518 6.694 0.000
0.000 0.000 5.269
Mg Br
6 2
direct
0.904 0.096 0.250
0.096 0.904 0.750
0.971 0.589 0.250
0.029 0.411 0.750
0.411 0.029 0.250
0.589 0.971 0.750
0.426 0.574 0.750
0.574 0.426 0.250
```



11.
The following is a GGA-PBE calculation of a relaxed structure of SmY7Ho2, from the Alexandria database.

## Properties
Total magnetization, Bohr magnetons per cell: 0.00
Excess energy over the best structure of this formula in the dataset, meV per atom: 480
Crystal system: orthorhombic
ΔH_f (0 K), kJ/mol of atoms: 67

```
SmY7Ho2
1.0
5.657 0.000 0.000
0.000 9.091 -0.410
0.000 -4.468 7.928
Sm Y Ho
1 7 2
direct
0.000 0.000 0.000
0.000 0.777 0.223
0.000 0.223 0.777
0.500 0.061 0.294
0.500 0.939 0.706
0.500 0.294 0.061
0.500 0.706 0.939
0.500 0.500 0.500
0.500 0.703 0.297
0.500 0.297 0.703
```



12.
The following is a GGA-PBE calculation of a relaxed structure of CeAlZn4, from the Alexandria database.

## Properties
Total magnetization, Bohr magnetons per cell: 1.25
Excess energy over the best structure of this formula in the dataset, meV per atom: 0
Crystal system: monoclinic
ΔH_f (0 K), kJ/mol of atoms: -23

```
CeAlZn4
1.0
5.512 0.207 1.980
1.253 7.072 1.679
0.331 0.207 5.848
Ce Al Zn
2 2 8
direct
0.192 0.204 0.192
0.808 0.796 0.808
0.417 0.797 0.417
0.583 0.203 0.583
0.178 0.742 0.178
0.821 0.552 0.406
0.766 0.000 0.234
0.594 0.448 0.179
0.822 0.258 0.822
0.179 0.448 0.594
0.234 0.000 0.766
0.406 0.552 0.821
```



13.
The following is a GGA-PBE calculation of a relaxed structure of NdSm4Tm2, from the Alexandria database.

## Properties
Total magnetization, Bohr magnetons per cell: 0.00
Excess energy over the best structure of this formula in the dataset, meV per atom: 0
Crystal system: orthorhombic
ΔH_f (0 K), kJ/mol of atoms: 6

```
NdSm4Tm2
1.0
12.020 -3.077 -1.546
-9.409 8.087 -1.546
0.019 0.036 6.780
Nd Sm Tm
2 8 4
direct
0.428 0.678 0.500
0.678 0.428 0.000
0.715 0.178 0.868
0.178 0.715 0.368
0.185 0.792 0.898
0.792 0.185 0.398
0.037 0.144 0.602
0.560 0.597 0.133
0.597 0.560 0.633
0.144 0.037 0.102
0.619 0.301 0.446
0.923 0.105 0.054
0.105 0.923 0.554
0.301 0.619 0.946
```



14.
The following is a GGA-PBE calculation of a relaxed structure of MgTc2W, from the Alexandria database.

## Properties
Total magnetization, Bohr magnetons per cell: 0.00
Crystal system: orthorhombic
ΔH_f (0 K), kJ/mol of atoms: 39

```
MgTc2W
1.0
3.127 0.000 0.000
0.000 4.583 0.000
0.000 0.000 4.308
Mg Tc W
1 2 1
direct
0.000 0.500 0.500
0.000 0.000 0.000
0.500 0.500 0.000
0.500 0.000 0.500
```



15.
The following is a GGA-PBE calculation of a relaxed structure of TlCu4Pd7, from the Alexandria database.

## Properties
Total magnetization, Bohr magnetons per cell: 0.00
Crystal system: monoclinic
ΔH_f (0 K), kJ/mol of atoms: 15

```
TlCu4Pd7
1.0
4.910 0.000 0.000
2.455 7.934 -0.151
2.455 0.232 5.094
Tl Cu Pd
1 4 7
direct
0.000 0.000 0.000
0.566 0.235 0.633
0.434 0.765 0.367
0.721 0.683 0.875
0.279 0.317 0.125
0.789 0.917 0.505
0.211 0.083 0.495
0.043 0.618 0.297
0.957 0.382 0.703
0.341 0.557 0.760
0.500 0.000 0.000
0.659 0.443 0.240
```



16.
The following is a GGA-PBE calculation of a relaxed structure of Al4Fe3, from the Alexandria database.

## Properties
Total magnetization, Bohr magnetons per cell: 5.04
Excess energy over the best structure of this formula in the dataset, meV per atom: 87
Crystal system: hexagonal
ΔH_f (0 K), kJ/mol of atoms: -18

```
Al4Fe3
1.0
2.419 -4.189 0.000
2.419 4.189 0.000
0.000 0.000 4.686
Al Fe
4 3
direct
0.000 0.000 0.247
0.000 0.000 0.753
0.667 0.333 0.500
0.333 0.667 0.500
0.000 0.500 0.000
0.500 0.500 0.000
0.500 0.000 0.000
```



17.
The following is a GGA-PBE calculation of a relaxed structure of Li9GaAg2, from the Alexandria database.

## Properties
Total magnetization, Bohr magnetons per cell: 0.01
Crystal system: tetragonal
ΔH_f (0 K), kJ/mol of atoms: -14

```
Li9GaAg2
1.0
4.093 0.000 0.000
0.000 4.093 0.000
0.000 0.000 12.050
Li Ga Ag
9 1 2
direct
0.500 0.500 0.000
0.500 0.500 0.333
0.500 0.500 0.667
0.500 0.000 0.164
0.500 0.000 0.500
0.500 0.000 0.836
0.000 0.500 0.164
0.000 0.500 0.500
0.000 0.500 0.836
0.000 0.000 0.000
0.000 0.000 0.331
0.000 0.000 0.669
```



18.
The following is a GGA-PBE calculation of a relaxed structure of Ta2NiH2, from the Alexandria database.

## Properties
Total magnetization, Bohr magnetons per cell: 0.00
Excess energy over the best structure of this formula in the dataset, meV per atom: 0
Crystal system: tetragonal

```
Ta2NiH2
1.0
-2.335 -1.580 -0.818
1.007 -0.060 -2.757
2.377 -5.950 -0.564
Ni H Ta
1 2 2
direct
0.000 0.000 0.000
0.750 0.250 0.500
0.250 0.750 0.500
0.360 0.360 0.281
0.640 0.640 0.719
```



19.
The following is a GGA-PBE calculation of a relaxed structure of K3Y, from the Alexandria database.

## Properties
Total magnetization, Bohr magnetons per cell: 0.53
Crystal system: tetragonal
ΔH_f (0 K), kJ/mol of atoms: 36

```
K3Y
1.0
-3.518 1.360 -0.879
-0.446 -2.835 -2.601
-5.802 -8.427 10.180
K Y
3 1
direct
0.000 0.000 0.974
0.500 0.500 0.250
0.000 0.000 0.526
0.500 0.500 0.750
```



20.
The following is a GGA-PBE calculation of a relaxed structure of NaHfZr2Ge, from the Alexandria database.

## Properties
Total magnetization, Bohr magnetons per cell: 0.00
Crystal system: tetragonal
ΔH_f (0 K), kJ/mol of atoms: 122

```
NaHfZr2Ge
1.0
-3.896 1.750 -2.909
-2.793 -4.349 1.124
-2.020 2.364 4.127
Na Ge Hf Zr
1 1 1 2
direct
0.000 0.500 0.000
0.500 0.500 0.500
0.000 0.000 0.000
0.000 0.000 0.500
0.500 0.000 0.000
```



21.
The following is a GGA-PBE calculation of a relaxed structure of AsPtW, from the Alexandria database.

## Properties
Total magnetization, Bohr magnetons per cell: 0.00
Excess energy over the best structure of this formula in the dataset, meV per atom: 206
Crystal system: orthorhombic
ΔH_f (0 K), kJ/mol of atoms: 25

```
AsPtW
1.0
4.875 0.004 -0.003
2.351 4.270 0.003
-3.164 -2.895 2.317
As W Pt
1 1 1
direct
0.001 0.001 0.000
0.672 0.672 0.000
0.327 0.327 0.000
```



22.
The following is a GGA-PBE calculation of a relaxed structure of Zr2NiSb, from the Alexandria database.

## Properties
Total magnetization, Bohr magnetons per cell: 1.38
Energy, eV/atom: -6.673
Crystal system: cubic

```
Zr2NiSb
1.0
4.803 0.000 0.000
2.401 4.159 0.000
2.401 1.386 3.921
Ni Sb Zr
1 1 2
direct
0.500 0.500 0.500
0.750 0.750 0.750
0.000 0.000 0.000
0.250 0.250 0.250
```



23.
The following is a GGA-PBE calculation of a relaxed structure of CaTiO3, from the Alexandria database.

## Properties
Total magnetization, Bohr magnetons per cell: 0.00
Energy, eV/atom: -8.063
Crystal system: trigonal

```
CaTiO3
1.0
5.918 0.002 0.001
3.514 4.762 0.001
3.514 1.775 4.419
Ca Ti O
2 2 6
direct
0.637 0.637 0.637
0.363 0.363 0.363
0.851 0.851 0.851
0.149 0.149 0.149
0.187 0.565 0.973
0.973 0.187 0.565
0.435 0.027 0.813
0.565 0.973 0.187
0.027 0.813 0.435
0.813 0.435 0.027
```



24.
The following is a GGA-PBE calculation of a relaxed structure of Tc2OsPb, from the Alexandria database.

## Properties
Total magnetization, Bohr magnetons per cell: 0.00
Crystal system: tetragonal
ΔH_f (0 K), kJ/mol of atoms: 68

```
Tc2OsPb
1.0
5.039 0.006 0.000
1.924 4.657 0.000
-3.481 -2.331 2.799
Os Pb Tc
1 1 2
direct
0.250 0.750 0.500
0.750 0.250 0.500
0.000 0.000 0.000
0.500 0.500 0.000
```